1.
A plane-wave DFT calculation with PBE was carried out for a relaxed structure of FeCuAs3.

Values from the calculation:
Total DFT energy (no corrections), eV per atom: -4.720
Symmetry: No. 221

Cell lengths 4.5425, 4.5425, 4.5425 Å; angles 90.00, 90.00, 90.00 degrees
Last column: nearest neighbours and their distance in Å.
Atoms (fractional coordinates):
Fe1 0.0000 0.0000 0.0000  6 As 2.27
Cu1 0.5000 0.5000 0.5000  12 As 3.21
As1 0.0000 0.0000 0.5000  2 Fe 2.27
As2 0.0000 0.5000 0.0000  2 Fe 2.27
As3 0.5000 0.0000 0.0000  2 Fe 2.27

=====

2.
A plane-wave DFT calculation with PBE was carried out for a relaxed structure of FeCuAs4.

Values from the calculation:
Total DFT energy (no corrections), eV per atom: -4.442
Symmetry: No. 216

Cell lengths 5.4243, 5.4243, 5.4243 Å; angles 60.00, 60.00, 60.00 degrees
Last column: nearest neighbours and their distance in Å.
Atoms (fractional coordinates):
Fe1 0.0000 0.0000 0.0000  12 As 3.18, 4 Cu 3.32
Cu1 0.2500 0.2500 0.2500  12 As 3.18, 4 Fe 3.32
As1 0.1259 0.6247 0.6247  6 As 2.71-2.72
As2 0.6247 0.1259 0.6247  6 As 2.71-2.72
As3 0.6247 0.6247 0.1259  6 As 2.71-2.72
As4 0.6247 0.6247 0.6247  6 As 2.71-2.72

=====

3.
A plane-wave DFT calculation with PBE was carried out for a relaxed structure of FeCu3As.

Values from the calculation:
Total DFT energy (no corrections), eV per atom: -4.267
Symmetry: No. 221

Cell lengths 4.4403, 4.4403, 4.4403 Å; angles 90.00, 90.00, 90.00 degrees
Last column: nearest neighbours and their distance in Å.
Atoms (fractional coordinates):
Fe1 0.0000 0.0000 0.0000  12 Cu 3.14
Cu1 0.0000 0.5000 0.5000  2 As 2.22
Cu2 0.5000 0.0000 0.5000  2 As 2.22
Cu3 0.5000 0.5000 0.0000  2 As 2.22
As1 0.5000 0.5000 0.5000  6 Cu 2.22

=====

4.
A plane-wave DFT calculation with PBE was carried out for a relaxed structure of Fe4CuAs.

Values from the calculation:
Total DFT energy (no corrections), eV per atom: -6.799
Symmetry: No. 216

Cell lengths 4.7761, 4.7761, 4.7761 Å; angles 60.00, 60.00, 60.00 degrees
Last column: nearest neighbours and their distance in Å.
Atoms (fractional coordinates):
Fe1 0.1245 0.1245 0.1245  6 Fe 2.38-2.40
Fe2 0.1245 0.1245 0.6266  6 Fe 2.38-2.40
Fe3 0.1245 0.6266 0.1245  6 Fe 2.38-2.40
Fe4 0.6266 0.1245 0.1245  6 Fe 2.38-2.40
Cu1 0.7500 0.7500 0.7500  12 Fe 2.80, 4 As 2.92
As1 0.5000 0.5000 0.5000  12 Fe 2.80, 4 Cu 2.92

=====

5.
A plane-wave DFT calculation with PBE was carried out for a relaxed structure of Fe2Cu2As.

Values from the calculation:
Total DFT energy (no corrections), eV per atom: -5.737
Symmetry: No. 127

Cell lengths 5.7955, 5.7955, 3.8978 Å; angles 90.00, 90.00, 90.00 degrees
Last column: nearest neighbours and their distance in Å.
Atoms (fractional coordinates):
Fe1 0.1370 0.3630 0.0000  1 Fe 2.25, 2 As 2.25
Fe2 0.3630 0.8630 0.0000  1 Fe 2.25, 2 As 2.25
Fe3 0.6370 0.1370 0.0000  1 Fe 2.25, 2 As 2.25
Fe4 0.8630 0.6370 0.0000  1 Fe 2.25, 2 As 2.25
Cu1 0.1576 0.6576 0.5000  6 Fe 2.58-2.59, 1 Cu 2.58
Cu2 0.3424 0.1576 0.5000  6 Fe 2.58-2.59, 1 Cu 2.58
Cu3 0.6576 0.8424 0.5000  6 Fe 2.58-2.59, 1 Cu 2.58
Cu4 0.8424 0.3424 0.5000  6 Fe 2.58-2.59, 1 Cu 2.58
As1 0.0000 0.0000 0.0000  4 Fe 2.25
As2 0.5000 0.5000 0.0000  4 Fe 2.25

=====

6.
A plane-wave DFT calculation with PBE was carried out for a relaxed structure of FeCu3As.

Values from the calculation:
Total DFT energy (no corrections), eV per atom: -4.033
Symmetry: No. 221

Cell lengths 4.4369, 4.4369, 4.4369 Å; angles 90.00, 90.00, 90.00 degrees
Last column: nearest neighbours and their distance in Å.
Atoms (fractional coordinates):
Fe1 0.0000 0.0000 0.0000  6 Cu 2.22
Cu1 0.0000 0.0000 0.5000  2 Fe 2.22
Cu2 0.0000 0.5000 0.0000  2 Fe 2.22
Cu3 0.5000 0.0000 0.0000  2 Fe 2.22
As1 0.5000 0.5000 0.5000  12 Cu 3.14

=====

7.
A plane-wave DFT calculation with PBE was carried out for a relaxed structure of InFe2CuAs.

Values from the calculation:
Total DFT energy (no corrections), eV per atom: -4.744
Symmetry: No. 123

Cell lengths 4.4110, 4.4110, 4.6366 Å; angles 90.00, 90.00, 90.00 degrees
Last column: nearest neighbours and their distance in Å.
Atoms (fractional coordinates):
In1 0.0000 0.0000 0.0000  2 Cu 2.32
Fe1 0.0000 0.5000 0.5000  2 Cu 2.21
Fe2 0.5000 0.0000 0.5000  2 Cu 2.21
Cu1 0.0000 0.0000 0.5000  4 Fe 2.21, 2 In 2.32
As1 0.5000 0.5000 0.0000  4 In 3.12, 8 Fe 3.20

=====

8.
A plane-wave DFT calculation with PBE was carried out for a relaxed structure of FeCuMoAs2.

Values from the calculation:
Total DFT energy (no corrections), eV per atom: -4.953
Symmetry: No. 123

Cell lengths 4.4730, 4.4730, 4.6735 Å; angles 90.00, 90.00, 90.00 degrees
Last column: nearest neighbours and their distance in Å.
Atoms (fractional coordinates):
Fe1 0.0000 0.0000 0.0000  4 Mo 3.16, 8 As 3.23
Cu1 0.5000 0.5000 0.5000  4 As 2.24, 2 Mo 2.34
Mo1 0.5000 0.5000 0.0000  2 Cu 2.34
As1 0.0000 0.5000 0.5000  2 Cu 2.24
As2 0.5000 0.0000 0.5000  2 Cu 2.24

=====

Number 1: formation energy 0.58 eV/atom. Number 2: formation energy 0.75 eV/atom. Number 3: formation energy 0.81 eV/atom. Number 4: formation energy 0.30 eV/atom. Number 5: formation energy 0.22 eV/atom. Number 6: formation energy 1.05 eV/atom. Number 7: formation energy 0.94 eV/atom. Number 8: formation energy 1.58 eV/atom.